No. 1
VASP calculation (PBE) on crystalline ZnFeSb2I at its relaxed geometry.

Raw formation energy: 225 kJ/mol of formula units
Energy above the most stable polymorph in this dataset: 0 meV per atom
Spin magnetization: 0.0 μB per formula unit

Lattice parameters (Å, degrees): 4.8320 4.8320 5.7968 90.00 90.00 90.00
Space group P4/mmm (No. 123)
Symmetry-distinct sites (fractional):
Zn: 0.0000 0.0000 0.0000
Fe: 0.5000 0.5000 0.5000
Sb: 0.0000 0.5000 0.5000
I: 0.5000 0.5000 0.0000



No. 2
VASP calculation (PBE) on crystalline ZnFeSbI2 at its relaxed geometry.

Raw formation energy: 408 kJ/mol of formula units
Energy above the most stable polymorph in this dataset: 350 meV per atom
Spin magnetization: 3.8 μB per formula unit

Lattice parameters (Å, degrees): 5.5242 5.5242 5.3475 90.00 90.00 90.00
Space group P4/mmm (No. 123)
Symmetry-distinct sites (fractional):
Zn: 0.0000 0.0000 0.0000
Fe: 0.5000 0.5000 0.5000
Sb: 0.0000 0.0000 0.5000
I: 0.0000 0.5000 0.0000



No. 3
VASP calculation (PBE) on crystalline ZnFeSbI2 at its relaxed geometry.

Raw formation energy: 239 kJ/mol of formula units
Energy above the most stable polymorph in this dataset: 0 meV per atom
Spin magnetization: 0.0 μB per formula unit

Lattice parameters (Å, degrees): 5.4426 5.4426 4.8406 90.00 90.00 90.00
Space group P4/mmm (No. 123)
Symmetry-distinct sites (fractional):
Zn: 0.0000 0.0000 0.0000
Fe: 0.5000 0.5000 0.5000
Sb: 0.5000 0.5000 0.0000
I: 0.0000 0.5000 0.5000



No. 4
VASP calculation (PBE) on crystalline ZrFeSb2I at its relaxed geometry.

Raw formation energy: 277 kJ/mol of formula units
Energy above the most stable polymorph in this dataset: 0 meV per atom
Spin magnetization: 3.0 μB per formula unit

Lattice parameters (Å, degrees): 4.8858 4.8858 5.4442 90.00 90.00 90.00
Space group P4/mmm (No. 123)
Symmetry-distinct sites (fractional):
Zr: 0.0000 0.0000 0.0000
Fe: 0.5000 0.5000 0.5000
Sb: 0.0000 0.5000 0.5000
I: 0.5000 0.5000 0.0000